{"formula": "Dy2U3Si2", "functional": "GGA-PBE", "state": "relaxed", "final_energy_ev_per_atom": -7.648, "crystal_system": "orthorhombic", "lattice": [[-6.2679, 1.3168, -10.3916], [4.4942, -4.7819, 10.2928], [-2.7839, 1.3721, 1.8530]], "species": ["Si", "Si", "U", "U", "U", "Dy", "Dy"], "frac_coords": [[0.0571, 0.9429, 0.0000], [0.9429, 0.0571, 0.0000], [0.6059, 0.3941, 0.5000], [0.5000, 0.5000, 0.5000], [0.3941, 0.6059, 0.5000], [0.8080, 0.1920, 0.0000], [0.1920, 0.8080, 0.0000]]}